[1]
DFT (PBE-GGA) results for a geometry-optimized NbSeS2Cl structure.

## Properties
**Energy above the lowest structure with this stoichiometry**: 834 meV per atom
**Formation energy from raw total energies**: 0.768 eV per atom
**SG**: No. 123
**M_tot**: 3.006 Bohr magnetons per cell
**DOS(E_F)**: 1.040 states/eV/atom
**Energy**: -0.2913 Ry per atom

Unit cell a=4.8908 b=4.8908 c=4.6619 alpha=90.00 beta=90.00 gamma=90.00
Element x y z (fractional)
1 Nb 0.0000 0.0000 0.0000
2 Se 0.5000 0.5000 0.5000
3 S 0.0000 0.5000 0.5000
4 S 0.5000 0.0000 0.5000
5 Cl 0.5000 0.5000 0.0000

***

[2]
DFT (PBE-GGA) results for a geometry-optimized NbSeS2Cl structure.

## Properties
**Energy above the lowest structure with this stoichiometry**: 0 meV per atom
**Formation energy from raw total energies**: -0.065 eV per atom
**SG**: No. 123
**M_tot**: 2.275 Bohr magnetons per cell
**DOS(E_F)**: 0.762 states/eV/atom
**Energy**: -0.3525 Ry per atom

Unit cell a=4.8311 b=4.8311 c=4.9482 alpha=90.00 beta=90.00 gamma=90.00
Element x y z (fractional)
1 Nb 0.0000 0.0000 0.0000
2 Se 0.5000 0.5000 0.5000
3 S 0.0000 0.5000 0.0000
4 S 0.5000 0.0000 0.0000
5 Cl 0.0000 0.0000 0.5000

***

[3]
DFT (PBE-GGA) results for a geometry-optimized NbSeSCl2 structure.

## Properties
**Energy above the lowest structure with this stoichiometry**: 0 meV per atom
**Formation energy from raw total energies**: -0.184 eV per atom
**SG**: No. 123
**M_tot**: 1.850 Bohr magnetons per cell
**DOS(E_F)**: 0.876 states/eV/atom
**Energy**: -0.3278 Ry per atom

Unit cell a=4.9439 b=4.9439 c=4.8022 alpha=90.00 beta=90.00 gamma=90.00
Element x y z (fractional)
1 Nb 0.0000 0.0000 0.0000
2 Se 0.5000 0.5000 0.5000
3 S 0.0000 0.0000 0.5000
4 Cl 0.0000 0.5000 0.0000
5 Cl 0.5000 0.0000 0.0000

***

What did the first record say?
DFT (PBE-GGA) results for a geometry-optimized NbSeS2Cl structure.

## Properties
**Energy above the lowest structure with this stoichiometry**: 834 meV per atom
**Formation energy from raw total energies**: 0.768 eV per atom
**SG**: No. 123
**M_tot**: 3.006 Bohr magnetons per cell
**DOS(E_F)**: 1.040 states/eV/atom
**Energy**: -0.2913 Ry per atom

Unit cell a=4.8908 b=4.8908 c=4.6619 alpha=90.00 beta=90.00 gamma=90.00
Element x y z (fractional)
1 Nb 0.0000 0.0000 0.0000
2 Se 0.5000 0.5000 0.5000
3 S 0.0000 0.5000 0.5000
4 S 0.5000 0.0000 0.5000
5 Cl 0.5000 0.5000 0.0000

***

- What is the M_tot in the second record?
  2.275 Bohr magnetons per cell

***

- What is the formula in the third record?
  NbSeSCl2